Record 1
# La2ErSb3

Crystalline La2ErSb3 at its relaxed geometry (GGA-PBE, Alexandria via LeMat-Bulk).

Cell: 7.869 13.630 7.857 Å, 90.00 109.54 90.00°
Space group C2/m (No. 12)
Symmetry-distinct sites (fractional):
La 0.000 0.000 0.000 x2
La 0.000 0.164 0.500 x4
La 0.000 0.500 0.500 x2
Er 0.000 0.332 0.000 x4
Sb 0.237 0.500 0.238 x4
Sb 0.249 0.329 0.759 x8

Output
DFT total energy: -5.668 eV per atom
Density of states at the Fermi level: 3.8 states/eV per cell
Calculated volume: 794.1 Å³ per cell
Relative energy among the computed polymorphs: 0.00 eV per formula unit
Energy relative to the elements, uncorrected: -1203.8 meV per atom
Crystal system: monoclinic

=====

Record 2
# LaErSb

Crystalline LaErSb at its relaxed geometry (GGA-PBE, Alexandria via LeMat-Bulk).

Cell: 4.582 4.582 8.835 Å, 90.00 90.00 90.00°
Space group P4/nmm (No. 129, origin choice 2)
Symmetry-distinct sites (fractional):
La 0.250 0.250 0.148 x2
Er 0.250 0.750 0.500 x2
Sb 0.250 0.250 0.765 x2

Output
DFT total energy: -5.393 eV per atom
Density of states at the Fermi level: 6.8 states/eV per cell
Calculated volume: 185.5 Å³ per cell
Energy relative to the elements, uncorrected: -855.5 meV per atom
Crystal system: tetragonal

=====

Record 3
# La3ErSb2

Crystalline La3ErSb2 at its relaxed geometry (GGA-PBE, Alexandria via LeMat-Bulk).

Cell: 7.249 14.722 8.201 Å, 90.00 90.00 90.00°
Space group Ibam (No. 72)
Symmetry-distinct sites (fractional):
La 0.000 0.000 0.250 x4
La 0.000 0.293 0.250 x8
Er 0.000 0.500 0.000 x4
Sb 0.181 0.143 0.000 x8

Output
DFT total energy: -5.252 eV per atom
Density of states at the Fermi level: 28.0 states/eV per cell
Calculated volume: 875.1 Å³ per cell
Relative energy among the computed polymorphs: 1.28 eV per formula unit
Energy relative to the elements, uncorrected: -653.7 meV per atom
Crystal system: orthorhombic